# 1
BaTl2O4: single point on PBEsol structure, SCAN.

a = 10.4346 Å, b = 6.1556 Å, c = 21.7709 Å
α = 90.00°, β = 90.31°, γ = 90.00°
Space group C2/c (No. 15)
Inequivalent atoms, fractional coordinates:
Ba 0.0000 0.1209 0.2500 [4 per cell]
Ba 0.1659 0.3706 0.6437 [8 per cell]
Tl 0.0008 0.1369 0.4317 [8 per cell]
Tl 0.1611 0.3687 0.9459 [8 per cell]
Tl 0.1664 0.3661 0.8054 [8 per cell]
O 0.0000 0.4585 0.7500 [4 per cell]
O 0.0000 0.5000 0.0000 [4 per cell]
O 0.0489 0.1526 0.8712 [8 per cell]
O 0.1217 0.3553 0.3799 [8 per cell]
O 0.1470 0.0492 0.9980 [8 per cell]
O 0.1790 0.2044 0.1235 [8 per cell]
O 0.2126 0.0961 0.7434 [8 per cell]

Output
For the formation energy without anion corrections, the calculation gives -1.334 eV/atom. Its density of states at the Fermi level is 0.114 states/eV per atom. For the calculated density, the calculation gives 8.7 g cm⁻³. For the energy above the most stable polymorph in this dataset, the calculation gives 57.5 meV/atom. The calculation puts the total DFT energy (no corrections) at -31.22 eV/atom.

=====

# 2
BaTl3O: single point on PBEsol structure, SCAN.

a = 6.3986 Å, b = 6.3986 Å, c = 6.3986 Å
α = 90.00°, β = 90.00°, γ = 90.00°
Space group Pm-3m (No. 221)
Inequivalent atoms, fractional coordinates:
Ba 0.0000 0.0000 0.0000 [1 per cell]
Tl 0.0000 0.0000 0.5000 [3 per cell]
O 0.5000 0.5000 0.5000 [1 per cell]

Output
For the formation energy without anion corrections, the calculation gives 1.044 eV/atom. Its density of states at the Fermi level is 1.477 states/eV per atom. For the calculated density, the calculation gives 4.9 g cm⁻³. For the energy above the most stable polymorph in this dataset, the calculation gives 1415.1 meV/atom. The calculation puts the total DFT energy (no corrections) at -51.53 eV/atom.

=====

# 3
BaTl2O4: single point on PBEsol structure, SCAN.

a = 10.3207 Å, b = 3.4801 Å, c = 12.0115 Å
α = 90.00°, β = 90.00°, γ = 90.00°
Space group Pnma (No. 62)
Inequivalent atoms, fractional coordinates:
Ba 0.2453 0.2500 0.1515 [4 per cell]
Tl 0.0746 0.2500 0.3918 [4 per cell]
Tl 0.0784 0.2500 0.8923 [4 per cell]
O 0.0210 0.7500 0.7807 [4 per cell]
O 0.0773 0.2500 0.5755 [4 per cell]
O 0.1203 0.7500 0.0174 [4 per cell]
O 0.2077 0.7500 0.3344 [4 per cell]

Output
For the formation energy without anion corrections, the calculation gives -1.391 eV/atom. For the calculated density, the calculation gives 9.4 g cm⁻³. For the energy above the most stable polymorph in this dataset, the calculation gives 0.0 meV/atom. The calculation puts the total DFT energy (no corrections) at -31.28 eV/atom.